Entry 1:
A plane-wave DFT calculation with PBE was carried out for Li3CrI after structural relaxation.

Lattice parameters (Å, degrees): 5.234 5.234 5.234 90.00 90.00 90.00
Positions (direct):
Li: 0.000 0.000 0.500
Li: 0.000 0.500 0.000
Li: 0.500 0.000 0.000
Cr: 0.500 0.500 0.500
I: 0.000 0.000 0.000

Computed properties:
- Energy relative to the elements, uncorrected: 27.8 kJ per mole of atoms
- Final energy: -3.10 eV/atom
- SG: Pm-3m

=====

Entry 2:
A plane-wave DFT calculation with PBE was carried out for K2CeF8 after structural relaxation.

Lattice parameters (Å, degrees): 7.061 7.061 6.116 112.12 112.12 37.78
Positions (direct):
K: 0.179 0.179 0.171
K: 0.821 0.821 0.829
Ce: 0.500 0.500 0.500
F: 0.014 0.014 0.718
F: 0.158 0.158 0.687
F: 0.367 0.367 0.615
F: 0.382 0.382 0.137
F: 0.618 0.618 0.863
F: 0.633 0.633 0.385
F: 0.842 0.842 0.313
F: 0.986 0.986 0.282

Computed properties:
- Energy relative to the elements, uncorrected: -260.1 kJ per mole of atoms
- Final energy: -4.80 eV/atom
- SG: C2/m

=====

Entry 3:
A plane-wave DFT calculation with PBE was carried out for LiIn2Au2 after structural relaxation.

Lattice parameters (Å, degrees): 5.525 4.613 8.658 90.00 105.83 90.00
Positions (direct):
Li: 0.147 0.250 0.249
Li: 0.853 0.750 0.751
In: 0.184 0.250 0.602
In: 0.378 0.750 0.089
In: 0.622 0.250 0.911
In: 0.816 0.750 0.398
Au: 0.125 0.250 0.922
Au: 0.328 0.750 0.433
Au: 0.672 0.250 0.567
Au: 0.875 0.750 0.078

Computed properties:
- ΔH_f (0 K): -0.338 eV/atom
- Final energy: -3.13 eV/atom
- SG: P2_1/m

=====

Entry 4:
A plane-wave DFT calculation with PBE was carried out for Ca2RePbO6 after structural relaxation.

Lattice parameters (Å, degrees): 5.685 5.685 5.486 90.00 90.00 90.00
Positions (direct):
Ca: 0.000 0.500 0.000
Ca: 0.500 0.000 0.000
Re: 0.000 0.000 0.658
Pb: 0.500 0.500 0.572
O: 0.000 0.000 0.335
O: 0.222 0.222 0.784
O: 0.222 0.778 0.784
O: 0.500 0.500 0.175
O: 0.778 0.222 0.784
O: 0.778 0.778 0.784

Computed properties:
- Energy relative to the elements, uncorrected: -186.0 kJ per mole of atoms
- Final energy: -6.92 eV/atom
- SG: P4mm